Record 1
VASP calculation (PBE-GGA) on a relaxed Ag2RuPt crystal.

Structure (POSCAR):
```
Ag2RuPt
1.0
3.9145 0.0000 0.0000
0.0000 3.9145 0.0000
0.0000 0.0000 8.5928
Ag Ru Pt
4 2 2
direct
0.0000 0.5000 0.2500
0.0000 0.5000 0.7500
0.5000 0.0000 0.2500
0.5000 0.0000 0.7500
0.0000 0.0000 0.0000
0.5000 0.5000 0.5000
0.0000 0.0000 0.5000
0.5000 0.5000 0.0000
```

Computed properties:
Energy relative to the elements = 0.41 eV per atom
E = -4.846 eV/atom
Total magnetic moment = 2.329 μB per formula unit
Symmetry = No. 139

Record 2
VASP calculation (PBE-GGA) on a relaxed AgRu2Pt crystal.

Structure (POSCAR):
```
AgRu2Pt
1.0
2.7659 0.0000 0.0000
0.0000 2.7659 0.0000
0.0000 0.0000 8.0055
Ag Ru Pt
1 2 1
direct
0.0000 0.0000 0.0000
0.0000 0.0000 0.5184
0.5000 0.5000 0.7294
0.5000 0.5000 0.2706
```

Computed properties:
Energy relative to the elements = 0.13 eV per atom
E = -6.726 eV/atom
Total magnetic moment = 0.000 μB per formula unit
Symmetry = No. 99

Record 3
VASP calculation (PBE-GGA) on a relaxed Ag2RuPt crystal.

Structure (POSCAR):
```
Ag2RuPt
1.0
2.7950 0.0000 0.0000
0.0000 3.9082 0.0000
-0.0109 0.0000 6.0303
Ag Ru Pt
2 1 1
direct
0.0000 0.0000 0.0000
0.5001 0.5000 0.2479
0.4996 0.5000 0.7204
0.9990 0.0000 0.5332
```

Computed properties:
Energy relative to the elements = 0.25 eV per atom
E = -5.008 eV/atom
Total magnetic moment = 0.488 μB per formula unit
Symmetry = No. 6

Record 4
VASP calculation (PBE-GGA) on a relaxed Ag2RuPt crystal.

Structure (POSCAR):
```
Ag2RuPt
1.0
9.7034 0.0000 0.0000
0.0000 2.7712 0.0000
-0.7409 0.0000 4.8107
Ag Ru Pt
4 2 2
direct
0.2491 0.0000 0.2484
0.2509 0.5000 0.7516
0.7491 0.5000 0.2484
0.7509 0.0000 0.7516
0.0000 0.5000 0.0000
0.5000 0.0000 0.0000
0.0000 0.0000 0.5000
0.5000 0.5000 0.5000
```

Computed properties:
Energy relative to the elements = 0.26 eV per atom
E = -4.991 eV/atom
Total magnetic moment = 1.343 μB per formula unit
Symmetry = No. 12

Q: Which value of energy relative to the elements does entry 4 give?
A: 0.26 eV per atom